Record 1
# GaP2HPt (PBE-GGA, relaxed)
data_GaP2HPt
_symmetry_space_group_name_H-M 'P 1'
_symmetry_Int_Tables_number 1
_cell_length_a 5.115
_cell_length_b 5.115
_cell_length_c 4.604
_cell_angle_alpha 105.72
_cell_angle_beta 105.72
_cell_angle_gamma 38.74
loop_
_symmetry_equiv_pos_as_xyz
'x,y,z'
loop_
_atom_site_label
_atom_site_type_symbol
_atom_site_fract_x
_atom_site_fract_y
_atom_site_fract_z
Ga1 Ga 0.000 0.000 0.000
P1 P 0.201 0.201 0.613
P2 P 0.536 0.536 0.581
H1 H 0.768 0.768 0.186
Pt1 Pt 0.305 0.305 0.187
# **DOS at the Fermi energy**: 1.402 states/eV/cell
# **Energy above the most stable polymorph in this dataset**: 178 meV/atom
# **DFT total energy**: -4.74 eV per atom

Record 2
# Rb2Ga2P2H (PBE-GGA, relaxed)
data_Rb2Ga2P2H
_symmetry_space_group_name_H-M 'P 1'
_symmetry_Int_Tables_number 1
_cell_length_a 4.005
_cell_length_b 6.535
_cell_length_c 7.372
_cell_angle_alpha 69.29
_cell_angle_beta 74.32
_cell_angle_gamma 72.22
loop_
_symmetry_equiv_pos_as_xyz
'x,y,z'
loop_
_atom_site_label
_atom_site_type_symbol
_atom_site_fract_x
_atom_site_fract_y
_atom_site_fract_z
Rb1 Rb 0.060 0.206 0.174
Rb2 Rb 0.940 0.794 0.826
Ga1 Ga 0.321 0.296 0.563
Ga2 Ga 0.679 0.704 0.437
P1 P 0.300 0.632 0.267
P2 P 0.700 0.368 0.733
H1 H 0.500 0.000 0.500
# **DOS at the Fermi energy**: 2.679 states/eV/cell
# **DFT total energy**: -3.46 eV per atom

Record 3
# GaP2HS (PBE-GGA, relaxed)
data_GaP2HS
_symmetry_space_group_name_H-M 'P 1'
_symmetry_Int_Tables_number 1
_cell_length_a 3.504
_cell_length_b 3.504
_cell_length_c 7.264
_cell_angle_alpha 90.00
_cell_angle_beta 90.00
_cell_angle_gamma 90.00
loop_
_symmetry_equiv_pos_as_xyz
'x,y,z'
loop_
_atom_site_label
_atom_site_type_symbol
_atom_site_fract_x
_atom_site_fract_y
_atom_site_fract_z
Ga1 Ga 0.000 0.000 0.000
P1 P 0.000 0.500 0.500
P2 P 0.500 0.000 0.500
H1 H 0.500 0.500 0.500
S1 S 0.500 0.500 0.000
# **DOS at the Fermi energy**: 2.577 states/eV/cell
# **Energy above the most stable polymorph in this dataset**: 0 meV/atom
# **DFT total energy**: -3.79 eV per atom

Record 4
# GaP2HS (PBE-GGA, relaxed)
data_GaP2HS
_symmetry_space_group_name_H-M 'P 1'
_symmetry_Int_Tables_number 1
_cell_length_a 4.738
_cell_length_b 4.738
_cell_length_c 4.820
_cell_angle_alpha 90.00
_cell_angle_beta 90.00
_cell_angle_gamma 90.00
loop_
_symmetry_equiv_pos_as_xyz
'x,y,z'
loop_
_atom_site_label
_atom_site_type_symbol
_atom_site_fract_x
_atom_site_fract_y
_atom_site_fract_z
Ga1 Ga 0.000 0.000 0.000
P1 P 0.000 0.500 0.000
P2 P 0.500 0.000 0.000
H1 H 0.500 0.500 0.500
S1 S 0.000 0.000 0.500
# **DOS at the Fermi energy**: 3.119 states/eV/cell
# **Energy above the most stable polymorph in this dataset**: 827 meV/atom
# **DFT total energy**: -2.96 eV per atom

Record 5
# TaGa2PH (PBE-GGA, relaxed)
data_TaGa2PH
_symmetry_space_group_name_H-M 'P 1'
_symmetry_Int_Tables_number 1
_cell_length_a 3.670
_cell_length_b 3.670
_cell_length_c 5.222
_cell_angle_alpha 90.00
_cell_angle_beta 90.00
_cell_angle_gamma 90.00
loop_
_symmetry_equiv_pos_as_xyz
'x,y,z'
loop_
_atom_site_label
_atom_site_type_symbol
_atom_site_fract_x
_atom_site_fract_y
_atom_site_fract_z
Ta1 Ta 0.000 0.000 0.000
Ga1 Ga 0.000 0.500 0.500
Ga2 Ga 0.500 0.000 0.500
P1 P 0.500 0.500 0.000
H1 H 0.500 0.500 0.500
# **DOS at the Fermi energy**: 2.219 states/eV/cell
# **DFT total energy**: -5.06 eV per atom

Record 6
# PaGa3H (PBE-GGA, relaxed)
data_PaGa3H
_symmetry_space_group_name_H-M 'P 1'
_symmetry_Int_Tables_number 1
_cell_length_a 4.355
_cell_length_b 4.355
_cell_length_c 4.355
_cell_angle_alpha 90.00
_cell_angle_beta 90.00
_cell_angle_gamma 90.00
loop_
_symmetry_equiv_pos_as_xyz
'x,y,z'
loop_
_atom_site_label
_atom_site_type_symbol
_atom_site_fract_x
_atom_site_fract_y
_atom_site_fract_z
Pa1 Pa 0.000 0.000 0.000
Ga1 Ga 0.000 0.500 0.500
Ga2 Ga 0.500 0.000 0.500
Ga3 Ga 0.500 0.500 0.000
H1 H 0.500 0.500 0.500
# **DOS at the Fermi energy**: 5.777 states/eV/cell
# **DFT total energy**: -4.43 eV per atom

Record 7
# Pa3GaH (PBE-GGA, relaxed)
data_Pa3GaH
_symmetry_space_group_name_H-M 'P 1'
_symmetry_Int_Tables_number 1
_cell_length_a 6.018
_cell_length_b 6.018
_cell_length_c 6.018
_cell_angle_alpha 74.37
_cell_angle_beta 74.37
_cell_angle_gamma 74.37
loop_
_symmetry_equiv_pos_as_xyz
'x,y,z'
loop_
_atom_site_label
_atom_site_type_symbol
_atom_site_fract_x
_atom_site_fract_y
_atom_site_fract_z
Pa1 Pa 0.160 0.750 0.340
Pa2 Pa 0.250 0.660 0.840
Pa3 Pa 0.340 0.160 0.750
Pa4 Pa 0.660 0.840 0.250
Pa5 Pa 0.750 0.340 0.160
Pa6 Pa 0.840 0.250 0.660
Ga1 Ga 0.250 0.250 0.250
Ga2 Ga 0.750 0.750 0.750
H1 H 0.000 0.000 0.000
H2 H 0.500 0.500 0.500
# **DOS at the Fermi energy**: 18.922 states/eV/cell
# **Energy above the most stable polymorph in this dataset**: 145 meV/atom
# **DFT total energy**: -6.99 eV per atom

Record 8
# Pa3GaH (PBE-GGA, relaxed)
data_Pa3GaH
_symmetry_space_group_name_H-M 'P 1'
_symmetry_Int_Tables_number 1
_cell_length_a 4.589
_cell_length_b 4.589
_cell_length_c 4.589
_cell_angle_alpha 90.00
_cell_angle_beta 90.00
_cell_angle_gamma 90.00
loop_
_symmetry_equiv_pos_as_xyz
'x,y,z'
loop_
_atom_site_label
_atom_site_type_symbol
_atom_site_fract_x
_atom_site_fract_y
_atom_site_fract_z
Pa1 Pa 0.000 0.000 0.500
Pa2 Pa 0.000 0.500 0.000
Pa3 Pa 0.500 0.000 0.000
Ga1 Ga 0.500 0.500 0.500
H1 H 0.000 0.000 0.000
# **DOS at the Fermi energy**: 8.963 states/eV/cell
# **Energy above the most stable polymorph in this dataset**: 0 meV/atom
# **DFT total energy**: -7.14 eV per atom

Record 9
# Pa2GaH (PBE-GGA, relaxed)
data_Pa2GaH
_symmetry_space_group_name_H-M 'P 1'
_symmetry_Int_Tables_number 1
_cell_length_a 5.524
_cell_length_b 5.524
_cell_length_c 5.524
_cell_angle_alpha 44.08
_cell_angle_beta 44.08
_cell_angle_gamma 44.08
loop_
_symmetry_equiv_pos_as_xyz
'x,y,z'
loop_
_atom_site_label
_atom_site_type_symbol
_atom_site_fract_x
_atom_site_fract_y
_atom_site_fract_z
Pa1 Pa 0.220 0.220 0.220
Pa2 Pa 0.780 0.780 0.780
Ga1 Ga 0.000 0.000 0.000
H1 H 0.500 0.500 0.500
# **DOS at the Fermi energy**: 6.644 states/eV/cell
# **Energy above the most stable polymorph in this dataset**: 99 meV/atom
# **DFT total energy**: -6.22 eV per atom

Record 10
# Pa2Ga3H2 (PBE-GGA, relaxed)
data_Pa2Ga3H2
_symmetry_space_group_name_H-M 'P 1'
_symmetry_Int_Tables_number 1
_cell_length_a 4.554
_cell_length_b 4.554
_cell_length_c 7.284
_cell_angle_alpha 110.49
_cell_angle_beta 110.49
_cell_angle_gamma 54.97
loop_
_symmetry_equiv_pos_as_xyz
'x,y,z'
loop_
_atom_site_label
_atom_site_type_symbol
_atom_site_fract_x
_atom_site_fract_y
_atom_site_fract_z
Pa1 Pa 0.112 0.112 0.293
Pa2 Pa 0.888 0.888 0.707
Ga1 Ga 0.345 0.345 0.032
Ga2 Ga 0.500 0.500 0.500
Ga3 Ga 0.655 0.655 0.968
H1 H 0.262 0.262 0.635
H2 H 0.738 0.738 0.365
# **DOS at the Fermi energy**: 5.132 states/eV/cell
# **DFT total energy**: -5.21 eV per atom

Record 11
# Pa2GaH (PBE-GGA, relaxed)
data_Pa2GaH
_symmetry_space_group_name_H-M 'P 1'
_symmetry_Int_Tables_number 1
_cell_length_a 3.159
_cell_length_b 3.159
_cell_length_c 6.976
_cell_angle_alpha 90.00
_cell_angle_beta 90.00
_cell_angle_gamma 90.00
loop_
_symmetry_equiv_pos_as_xyz
'x,y,z'
loop_
_atom_site_label
_atom_site_type_symbol
_atom_site_fract_x
_atom_site_fract_y
_atom_site_fract_z
Pa1 Pa 0.000 0.000 0.195
Pa2 Pa 0.000 0.000 0.805
Ga1 Ga 0.500 0.500 0.500
H1 H 0.500 0.500 0.000
# **DOS at the Fermi energy**: 5.649 states/eV/cell
# **Energy above the most stable polymorph in this dataset**: 0 meV/atom
# **DFT total energy**: -6.32 eV per atom

Record 12
# Pa4Ga2H (PBE-GGA, relaxed)
data_Pa4Ga2H
_symmetry_space_group_name_H-M 'P 1'
_symmetry_Int_Tables_number 1
_cell_length_a 8.298
_cell_length_b 8.298
_cell_length_c 8.298
_cell_angle_alpha 149.20
_cell_angle_beta 149.20
_cell_angle_gamma 44.12
loop_
_symmetry_equiv_pos_as_xyz
'x,y,z'
loop_
_atom_site_label
_atom_site_type_symbol
_atom_site_fract_x
_atom_site_fract_y
_atom_site_fract_z
Pa1 Pa 0.000 0.500 0.500
Pa2 Pa 0.168 0.168 0.000
Pa3 Pa 0.500 0.000 0.500
Pa4 Pa 0.832 0.832 0.000
Ga1 Ga 0.359 0.359 0.000
Ga2 Ga 0.641 0.641 0.000
H1 H 0.000 0.000 0.000
# **DOS at the Fermi energy**: 14.111 states/eV/cell
# **DFT total energy**: -6.83 eV per atom